{"formula": "Fe2GeBiO6", "functional": "GGA+U", "state": "relaxed", "cell": [[5.367, 0.000, 0.016], [0.000, 5.570, 0.000], [0.072, 0.000, 7.873]], "species": ["O", "O", "O", "O", "O", "O", "O", "O", "O", "O", "O", "O", "Ge", "Ge", "Bi", "Bi", "Fe", "Fe", "Fe", "Fe"], "frac_coords": [[0.642, 0.286, 0.618], [0.632, 0.135, 0.286], [0.688, 0.362, 0.971], [0.312, 0.638, 0.029], [0.188, 0.138, 0.471], [0.142, 0.214, 0.118], [0.812, 0.862, 0.529], [0.132, 0.365, 0.786], [0.858, 0.786, 0.882], [0.358, 0.714, 0.382], [0.368, 0.865, 0.714], [0.868, 0.635, 0.214], [0.500, 0.000, 0.500], [0.000, 0.500, 0.000], [0.000, 0.500, 0.500], [0.500, 0.000, 0.000], [0.489, 0.524, 0.784], [0.511, 0.476, 0.216], [0.989, 0.976, 0.284], [0.011, 0.024, 0.716]], "spacegroup": "P2_1/c", "energy_ev_per_cell": -124.9, "total_magnetization_mub_per_cell": 18.0}